[1]
Below is Pa3Mo after structural relaxation, with properties calculated at the PBE level.

## Properties
Calculated formation energy in eV/atom: 0.20
Offset from the most stable computed form in eV/f.u.: 0.054
Symmetry: I4/mmm
DOS(E_F) in states/eV/f.u.: 8.23
V in Å³ per atom: 22.44

Unit cell a=4.217 b=4.217 c=5.862 alpha=111.09 beta=111.09 gamma=90.00
Fractional positions:
Mo (0.000, 0.000, 0.000)
Pa (0.250, 0.750, 0.500)
Pa (0.750, 0.250, 0.500)
Pa (0.500, 0.500, 0.000)



[2]
Below is Ca2VRuC after structural relaxation, with properties calculated at the PBE level.

## Properties
Calculated formation energy in eV/atom: 1.16
Symmetry: P4/mmm
DOS(E_F) in states/eV/f.u.: 4.78
V in Å³ per atom: 23.89

Unit cell a=5.563 b=3.860 c=5.563 alpha=90.00 beta=90.00 gamma=90.00
Each line ends with the local moment (μB).
Fractional positions:
Ru (0.000, 0.000, 0.000)  -0.05
Ca (0.000, 0.000, 0.500)  0.01
Ca (0.500, 0.000, 0.000)  0.01
V (0.500, 0.500, 0.500)  -0.03
C (0.000, 0.500, 0.000)  0.05



[3]
Below is Na2HgGe2 after structural relaxation, with properties calculated at the PBE level.

## Properties
Calculated formation energy in eV/atom: -0.08
Offset from the most stable computed form in eV/f.u.: 0.000
Symmetry: C2/m
DOS(E_F) in states/eV/f.u.: 1.89
V in Å³ per atom: 24.46

Unit cell a=4.674 b=5.954 c=9.843 alpha=83.10 beta=76.27 gamma=66.89
Fractional positions:
Ge (0.031, 0.846, 0.093)
Ge (0.872, 0.701, 0.554)
Ge (0.128, 0.299, 0.446)
Ge (0.969, 0.154, 0.907)
Na (0.498, 0.316, 0.689)
Na (0.502, 0.684, 0.311)
Na (0.691, 0.723, 0.894)
Na (0.309, 0.277, 0.106)
Hg (0.783, 0.093, 0.340)
Hg (0.217, 0.907, 0.660)



[4]
Below is Tb6Nd2Dy3Pu after structural relaxation, with properties calculated at the PBE level.

## Properties
Calculated formation energy in eV/atom: 0.05
Symmetry: C2/m
DOS(E_F) in states/eV/f.u.: 25.25
V in Å³ per atom: 31.94

Unit cell a=6.179 b=6.179 c=11.783 alpha=95.04 beta=95.04 gamma=120.06
Each line ends with the local moment (μB).
Fractional positions:
Pu (0.000, 0.000, 0.000)  5.57
Nd (0.333, 0.667, 0.000)  0.04
Nd (0.667, 0.333, 0.000)  0.04
Tb (0.084, 0.413, 0.251)  0.03
Tb (0.246, 0.246, 0.749)  0.03
Tb (0.587, 0.916, 0.749)  0.03
Tb (0.916, 0.587, 0.749)  0.03
Tb (0.413, 0.084, 0.251)  0.03
Tb (0.754, 0.754, 0.251)  0.03
Dy (0.500, 0.500, 0.500)  -0.03
Dy (0.833, 0.167, 0.500)  -0.03
Dy (0.167, 0.833, 0.500)  -0.03



[5]
Below is Sr2DyAg after structural relaxation, with properties calculated at the PBE level.

## Properties
Calculated formation energy in eV/atom: 0.27
Offset from the most stable computed form in eV/f.u.: 0.994
Symmetry: R-3m
DOS(E_F) in states/eV/f.u.: 4.47
V in Å³ per atom: 38.18

Unit cell a=3.845 b=3.845 c=12.135 alpha=80.88 beta=80.88 gamma=60.00
Each line ends with the local moment (μB).
Fractional positions:
Sr (0.101, 0.101, 0.698)  0.01
Sr (0.899, 0.899, 0.302)  0.01
Dy (0.000, 0.000, 0.000)  0.26
Ag (0.500, 0.500, 0.500)  0.00



[6]
Below is PmTmOsO6 after structural relaxation, with properties calculated at the PBE level.

## Properties
Symmetry: P-31c
DOS(E_F) in states/eV/f.u.: 4.50
V in Å³ per atom: 14.23
Uncorrected formation energy in eV/atom: -2.379

Unit cell a=5.470 b=5.470 c=9.884 alpha=90.00 beta=90.00 gamma=120.00
Each line ends with the local moment (μB).
Fractional positions:
O (0.626, 0.664, 0.639)  0.07
O (0.962, 0.336, 0.139)  0.07
O (0.374, 0.336, 0.361)  0.07
O (0.038, 0.374, 0.639)  0.07
O (0.664, 0.038, 0.361)  0.07
O (0.336, 0.374, 0.861)  0.07
O (0.664, 0.626, 0.139)  0.07
O (0.626, 0.962, 0.861)  0.07
O (0.038, 0.664, 0.861)  0.07
O (0.374, 0.038, 0.139)  0.07
O (0.336, 0.962, 0.639)  0.07
O (0.962, 0.626, 0.361)  0.07
Tm (0.333, 0.667, 0.250)  0.04
Tm (0.667, 0.333, 0.750)  0.04
Os (0.333, 0.667, 0.750)  1.32
Os (0.667, 0.333, 0.250)  1.32
Pm (0.000, 0.000, 0.000)  0.05
Pm (0.000, 0.000, 0.500)  0.05



[7]
Below is Na2HfBe after structural relaxation, with properties calculated at the PBE level.

## Properties
Calculated formation energy in eV/atom: 1.07
Symmetry: I-42d
DOS(E_F) in states/eV/f.u.: 4.02
V in Å³ per atom: 22.88

Unit cell a=8.318 b=8.318 c=6.449 alpha=49.84 beta=49.84 gamma=90.00
Fractional positions:
Be (0.500, 0.500, 0.000)
Be (0.250, 0.750, 0.500)
Na (0.375, 0.432, 0.750)
Na (0.568, 0.125, 0.250)
Na (0.875, 0.818, 0.750)
Na (0.182, 0.625, 0.250)
Hf (0.750, 0.250, 0.500)
Hf (0.000, 0.000, 0.000)



[8]
Below is AlCoH after structural relaxation, with properties calculated at the PBE level.

## Properties
Offset from the most stable computed form in eV/f.u.: 0.109
Symmetry: P3m1
DOS(E_F) in states/eV/f.u.: 1.19
V in Å³ per atom: 9.06

Unit cell a=3.790 b=2.878 c=2.878 alpha=120.00 beta=90.00 gamma=90.00
Fractional positions:
Co (0.136, 0.333, 0.667)
H (0.221, 0.000, 0.000)
Al (0.644, 0.667, 0.333)



[9]
Below is LaMg2Sc after structural relaxation, with properties calculated at the PBE level.

## Properties
Calculated formation energy in eV/atom: 0.29
Symmetry: I-42d
DOS(E_F) in states/eV/f.u.: 4.50
V in Å³ per atom: 28.61

Unit cell a=8.670 b=8.670 c=6.845 alpha=50.70 beta=50.70 gamma=90.00
Fractional positions:
Sc (0.500, 0.500, 0.000)
Sc (0.250, 0.750, 0.500)
Mg (0.875, 0.848, 0.750)
Mg (0.375, 0.402, 0.750)
Mg (0.598, 0.125, 0.250)
Mg (0.152, 0.625, 0.250)
La (0.750, 0.250, 0.500)
La (0.000, 0.000, 0.000)



[10]
Below is Rb2AsRuW after structural relaxation, with properties calculated at the PBE level.

## Properties
Calculated formation energy in eV/atom: 1.75
Symmetry: P4/mmm
DOS(E_F) in states/eV/f.u.: 17.09
V in Å³ per atom: 46.24

Unit cell a=6.937 b=4.805 c=6.937 alpha=90.00 beta=90.00 gamma=90.00
Each line ends with the local moment (μB).
Fractional positions:
Rb (0.000, 0.000, 0.500)  0.02
Rb (0.500, 0.000, 0.000)  0.03
As (0.000, 0.500, 0.000)  -0.10
W (0.000, 0.000, 0.000)  2.37
Ru (0.500, 0.500, 0.500)  2.60



[11]
Below is TiTe2SN after structural relaxation, with properties calculated at the PBE level.

## Properties
Offset from the most stable computed form in eV/f.u.: 2.125
Symmetry: P4/mmm
DOS(E_F) in states/eV/f.u.: 4.59
V in Å³ per atom: 20.31
Uncorrected formation energy in eV/atom: 0.696

Unit cell a=5.499 b=5.499 c=3.358 alpha=90.00 beta=90.00 gamma=90.00
Each line ends with the local moment (μB).
Fractional positions:
Ti (0.500, 0.500, 0.500)  1.50
Te (0.000, 0.500, 0.000)  -0.06
Te (0.500, 0.000, 0.000)  -0.06
N (0.000, 0.000, 0.500)  -0.07
S (0.000, 0.000, 0.000)  0.01



[12]
Below is SmSnSb2 after structural relaxation, with properties calculated at the PBE level.

## Properties
Offset from the most stable computed form in eV/f.u.: 0.614
Symmetry: R3m
DOS(E_F) in states/eV/f.u.: 2.35
V in Å³ per atom: 32.36
Uncorrected formation energy in eV/atom: -0.368

Unit cell a=4.472 b=4.472 c=7.905 alpha=73.57 beta=73.57 gamma=60.00
Fractional positions:
Sb (0.082, 0.082, 0.754)
Sb (0.253, 0.253, 0.240)
Sn (0.498, 0.498, 0.506)
Sm (0.667, 0.667, 0.000)



[13]
Below is SrMnAl11 after structural relaxation, with properties calculated at the PBE level.

## Properties
Calculated formation energy in eV/atom: -0.13
Symmetry: C2/m
DOS(E_F) in states/eV/f.u.: 5.95
V in Å³ per atom: 17.54

Unit cell a=5.239 b=7.212 c=6.933 alpha=82.61 beta=67.80 gamma=70.10
Each line ends with the local moment (μB).
Fractional positions:
Al (0.501, 0.234, 0.781)  -0.01
Al (0.499, 0.766, 0.219)  -0.01
Al (0.500, 0.000, 0.500)  0.00
Al (0.719, 0.766, 0.781)  -0.01
Al (0.022, 0.636, 0.345)  -0.01
Al (0.000, 0.000, 0.500)  0.00
Al (0.000, 0.500, 0.000)  -0.02
Al (0.367, 0.636, 0.655)  -0.01
Al (0.978, 0.364, 0.655)  -0.01
Al (0.633, 0.364, 0.345)  -0.01
Al (0.281, 0.234, 0.219)  -0.01
Mn (0.500, 0.500, 0.000)  1.53
Sr (0.000, 0.000, 0.000)  0.00



[14]
Below is TlCl3 after structural relaxation, with properties calculated at the PBE level.

## Properties
Symmetry: C2/m
DOS(E_F) in states/eV/f.u.: 0.00
V in Å³ per atom: 32.32
Uncorrected formation energy in eV/atom: -0.664

Unit cell a=6.759 b=6.759 c=6.895 alpha=80.75 beta=80.75 gamma=119.91
Fractional positions:
Cl (0.215, 0.215, 0.768)
Cl (0.935, 0.575, 0.769)
Cl (0.425, 0.065, 0.231)
Cl (0.065, 0.425, 0.231)
Cl (0.785, 0.785, 0.232)
Cl (0.575, 0.935, 0.769)
Tl (0.167, 0.833, 0.000)
Tl (0.833, 0.167, 0.000)



[15]
Below is TlOF2 after structural relaxation, with properties calculated at the PBE level.

## Properties
Offset from the most stable computed form in eV/f.u.: 1.945
Symmetry: Fm-3m
DOS(E_F) in states/eV/f.u.: 5.04
V in Å³ per atom: 12.11
Uncorrected formation energy in eV/atom: -0.534

Unit cell a=4.092 b=4.092 c=4.092 alpha=60.00 beta=60.00 gamma=60.00
Each line ends with the local moment (μB).
Fractional positions:
O (0.000, 0.000, 0.000)  1.04
F (0.250, 0.250, 0.250)  0.01
F (0.750, 0.750, 0.750)  0.01
Tl (0.500, 0.500, 0.500)  -0.08



[16]
Below is KAuBrCl2 after structural relaxation, with properties calculated at the PBE level.

## Properties
Symmetry: P4/mmm
DOS(E_F) in states/eV/f.u.: 1.94
V in Å³ per atom: 28.54
Uncorrected formation energy in eV/atom: -0.867

Unit cell a=5.135 b=5.135 c=5.411 alpha=90.00 beta=90.00 gamma=90.00
Fractional positions:
Br (0.000, 0.000, 0.500)
Cl (0.500, 0.000, 0.000)
Cl (0.000, 0.500, 0.000)
K (0.500, 0.500, 0.500)
Au (0.000, 0.000, 0.000)



[17]
Below is AcPuPtPb after structural relaxation, with properties calculated at the PBE level.

## Properties
Calculated formation energy in eV/atom: -0.41
Symmetry: F-43m
DOS(E_F) in states/eV/f.u.: 13.88
V in Å³ per atom: 28.52

Unit cell a=5.444 b=5.444 c=5.444 alpha=60.00 beta=60.00 gamma=60.00
Each line ends with the local moment (μB).
Fractional positions:
Ac (0.500, 0.500, 0.500)  0.01
Pt (0.750, 0.750, 0.750)  -0.12
Pb (0.250, 0.250, 0.250)  -0.09
Pu (0.000, 0.000, 0.000)  5.38



[18]
Below is Mn3Co2 after structural relaxation, with properties calculated at the PBE level.

## Properties
Calculated formation energy in eV/atom: 0.37
Symmetry: P-3m1
DOS(E_F) in states/eV/f.u.: 6.29
V in Å³ per atom: 13.12

Unit cell a=3.950 b=3.950 c=4.853 alpha=90.00 beta=90.00 gamma=120.00
Each line ends with the local moment (μB).
Fractional positions:
Mn (0.667, 0.333, 0.647)  2.94
Mn (0.333, 0.667, 0.353)  2.94
Mn (0.000, 0.000, 0.000)  2.75
Co (0.667, 0.333, 0.154)  0.70
Co (0.333, 0.667, 0.846)  0.70



[19]
Below is PmInPPd after structural relaxation, with properties calculated at the PBE level.

## Properties
Calculated formation energy in eV/atom: -0.53
Symmetry: F-43m
DOS(E_F) in states/eV/f.u.: 3.44
V in Å³ per atom: 21.03

Unit cell a=4.918 b=4.918 c=4.918 alpha=60.00 beta=60.00 gamma=60.00
Fractional positions:
P (0.500, 0.500, 0.500)
Pd (0.000, 0.000, 0.000)
In (0.250, 0.250, 0.250)
Pm (0.750, 0.750, 0.750)



[20]
Below is TlAgSe after structural relaxation, with properties calculated at the PBE level.

## Properties
Offset from the most stable computed form in eV/f.u.: 0.023
Symmetry: Cmcm
V in Å³ per atom: 26.78
Uncorrected formation energy in eV/atom: -0.240

Unit cell a=4.349 b=4.413 c=8.651 alpha=90.00 beta=104.56 gamma=90.00
Fractional positions:
Se (0.355, 0.750, 0.709)
Se (0.645, 0.250, 0.291)
Ag (0.749, 0.750, 0.498)
Ag (0.251, 0.250, 0.502)
Tl (0.914, 0.250, 0.828)
Tl (0.086, 0.750, 0.172)